This record from Alexandria via LeMat-Bulk describes CaCr2BiO8 after structural relaxation. The functional is PBE+U.

Geometry as CIF:
```
data_CaCr2BiO8
_chemical_formula_sum 'Ca2 Cr4 Bi2 O16'
_space_group_name_H-M_alt 'I -4 m 2'
_space_group_IT_number 119
_space_group_name_Hall 'I -4 -2'
_cell_length_a 7.3333
_cell_length_b 7.3333
_cell_length_c 6.4187
_cell_angle_alpha 90.00
_cell_angle_beta 90.00
_cell_angle_gamma 90.00
loop_
_atom_site_label
_atom_site_type_symbol
_atom_site_fract_x
_atom_site_fract_y
_atom_site_fract_z
_atom_site_occupancy
Ca1 Ca 0.0000 0.0000 0.0000 1
Cr1 Cr 0.0000 0.0000 0.5000 1
Cr2 Cr 0.0000 0.5000 0.7500 1
Bi1 Bi 0.0000 0.5000 0.2500 1
O1 O 0.0000 0.1839 0.3321 1
O2 O 0.0000 0.3212 0.9112 1
```

VASP energy (eV per atom): -6.67
Total moment (μB/f.u.): 1.00